Below is an optimized crystal structure of Cu2ReCl, with properties calculated at the PBEsol level.

abc: 2.7560 2.7560 7.3181
angles: 90.00 90.00 90.00
Positions (direct):
Cu1 0.0000 0.0000 0.2450
Cu2 0.0000 0.0000 0.7550
Re1 0.5000 0.5000 0.0000
Cl1 0.5000 0.5000 0.5000

- E_form (uncorrected) (eV/atom) = 0.454
- polymorph energy (0 for the lowest one) (meV/atom) = 0.0
- density (g/cm³) = 10.42


Below is an optimized crystal structure of KIr2Cl, with properties calculated at the PBEsol level.

abc: 2.7911 2.7911 8.9757
angles: 90.00 90.00 90.00
Positions (direct):
K1 0.0000 0.0000 0.0000
Ir1 0.5000 0.5000 0.2992
Ir2 0.5000 0.5000 0.7008
Cl1 0.0000 0.0000 0.5000

- E_form (uncorrected) (eV/atom) = 1.132
- polymorph energy (0 for the lowest one) (meV/atom) = 991.3
- density (g/cm³) = 10.90


Below is an optimized crystal structure of Ti2SiBr, with properties calculated at the PBEsol level.

abc: 4.4892 4.4892 4.4892
angles: 60.00 60.00 60.00
Positions (direct):
Ti1 0.2500 0.2500 0.2500
Ti2 0.7500 0.7500 0.7500
Si1 0.0000 0.0000 0.0000
Br1 0.5000 0.5000 0.5000

- E_form (uncorrected) (eV/atom) = -0.236
- density (g/cm³) = 5.29